## AlZn2CdO (meta-GGA SCAN)

Data for a PBEsol-optimized structure of AlZn2CdO.

Structure (POSCAR):
```
AlZn2CdO
1.0
4.680 0.000 0.000
0.000 4.680 0.000
0.000 0.000 5.116
Al Zn Cd O
1 2 1 1
direct
0.000 0.000 0.000
0.000 0.500 0.000
0.500 0.000 0.000
0.000 0.000 0.500
0.500 0.500 0.500
```

For the raw formation energy, the calculation gives 0.6595 eV per atom. The calculation puts the final energy at -13.6261 eV per atom. For the theoretical density, the calculation gives 4.2 g cm⁻³. As for the volume: 112.0 Å³/cell.

=====

## Sc3InBi (meta-GGA SCAN)

Data for a PBEsol-optimized structure of Sc3InBi.

Structure (POSCAR):
```
Sc3InBi
1.0
5.328 0.000 0.000
0.000 5.328 0.000
0.000 0.000 5.328
Sc In Bi
3 1 1
direct
0.000 0.000 0.500
0.000 0.500 0.000
0.500 0.000 0.000
0.500 0.500 0.500
0.000 0.000 0.000
```

For the formation energy from the elements, the calculation gives 0.1354 eV per atom. The calculation puts the final energy at -30.8001 eV per atom. For the theoretical density, the calculation gives 5.0 g cm⁻³. As for the volume: 151.2 Å³/cell.

=====

## Zr2ScOs (meta-GGA SCAN)

Data for a PBEsol-optimized structure of Zr2ScOs.

Structure (POSCAR):
```
Zr2ScOs
1.0
3.266 0.000 0.000
0.000 3.266 0.000
0.000 0.000 7.347
Zr Sc Os
2 1 1
direct
0.000 0.000 0.218
0.000 0.000 0.782
0.500 0.500 0.500
0.500 0.500 0.000
```

For the formation energy from the elements, the calculation gives -0.2688 eV per atom. The calculation puts the final energy at -37.1474 eV per atom. For the theoretical density, the calculation gives 8.8 g cm⁻³. As for the volume: 78.4 Å³/cell.

=====

## Cr2PbW (meta-GGA SCAN)

Data for a PBEsol-optimized structure of Cr2PbW.

Structure (POSCAR):
```
Cr2PbW
1.0
3.030 0.000 0.000
0.000 3.728 0.000
0.000 0.000 5.727
Cr Pb W
2 1 1
direct
0.000 0.000 0.180
0.000 0.000 0.820
0.500 0.500 0.500
0.500 0.500 0.000
```

For the formation energy from the elements, the calculation gives 0.5925 eV per atom. The calculation puts the final energy at -44.9671 eV per atom. For the theoretical density, the calculation gives 12.7 g cm⁻³. As for the volume: 64.7 Å³/cell.

=====

## Ca2BeP (meta-GGA SCAN)

Data for a PBEsol-optimized structure of Ca2BeP.

Structure (POSCAR):
```
Ca2BeP
1.0
3.309 0.000 0.000
0.000 3.309 0.000
0.000 0.000 8.061
Ca Be P
2 1 1
direct
0.000 0.000 0.000
0.500 0.500 0.408
0.500 0.500 0.746
0.000 0.000 0.649
```

For the formation energy from the elements, the calculation gives -0.1060 eV per atom. The calculation puts the final energy at -8.6257 eV per atom. For the theoretical density, the calculation gives 2.3 g cm⁻³. As for the volume: 88.3 Å³/cell.

=====

## LaLuAl4 (meta-GGA SCAN)

Data for a PBEsol-optimized structure of LaLuAl4.

Structure (POSCAR):
```
LaLuAl4
1.0
0.000 3.946 3.946
3.946 0.000 3.946
3.946 3.946 0.000
La Lu Al
1 1 4
direct
0.000 0.000 0.000
0.250 0.250 0.250
0.125 0.625 0.625
0.625 0.125 0.625
0.625 0.625 0.125
0.625 0.625 0.625
```

For the formation energy from the elements, the calculation gives -0.4732 eV per atom. The calculation puts the final energy at -22.0494 eV per atom. For the theoretical density, the calculation gives 5.7 g cm⁻³. As for the volume: 122.9 Å³/cell.

=====

- theoretical density of number 2 (Sc3InBi)?
  5.0 g cm⁻³